This record from Alexandria describes a geometry-optimized Li2WS4 structure. The functional is GGA-PBE.

a b c (Å): 6.647 6.647 6.640
angles (deg): 116.97 116.97 29.06
Atoms (fractional coordinates):
1 Li 0.224 0.224 0.196
2 Li 0.776 0.776 0.804
3 W 0.500 0.500 0.500
4 S 0.132 0.132 0.476
5 S 0.395 0.395 0.104
6 S 0.605 0.605 0.896
7 S 0.868 0.868 0.524

Values from the calculation:
The energy relative to the lowest polymorph listed for this composition is 0.1671 eV/atom. For the calculated density, the calculation gives 4.3 g/cm³. Its spin magnetization is 0.00 μB per cell. The calculation puts the energy relative to the elements, uncorrected at -689.8 meV per atom.

This record from Alexandria describes a geometry-optimized CoHCSe structure. The functional is GGA-PBE.

a b c (Å): 3.456 3.875 4.871
angles (deg): 81.51 88.92 63.52
Atoms (fractional coordinates):
1 Co 0.000 0.000 0.000
2 H 0.899 0.186 0.253
3 C 0.540 0.915 0.077
4 Se 0.312 0.388 0.762

Values from the calculation:
The energy relative to the lowest polymorph listed for this composition is 0.3857 eV/atom. For the calculated density, the calculation gives 4.3 g/cm³. Its spin magnetization is 0.00 μB per cell.

This record from Alexandria describes a geometry-optimized SrSeS2I structure. The functional is GGA-PBE.

a b c (Å): 5.050 5.050 6.651
angles (deg): 90.00 90.00 90.00
Atoms (fractional coordinates):
1 Sr 0.000 0.000 0.000
2 Se 0.500 0.500 0.000
3 S 0.000 0.500 0.500
4 S 0.500 0.000 0.500
5 I 0.000 0.000 0.500

Values from the calculation:
For the calculated density, the calculation gives 3.5 g/cm³. Its spin magnetization is 0.85 μB per cell. The calculation puts the energy relative to the elements, uncorrected at 64.4 meV per atom.